A crystal of ZnSe relaxed with PBEsol. Source: Alexandria via LeMat-Bulk, functional meta-GGA SCAN.

a = 5.636 Å, b = 5.636 Å, c = 5.636 Å
α = 90.00°, β = 90.00°, γ = 90.00°
Space group F-43m (No. 216)
One atom of each set of equivalent atoms:
Zn 0.000 0.000 0.000 x4
Se 0.250 0.250 0.750 x4

Computed properties:
Final energy   -17.588 eV/atom
ΔE_f (raw)   -791.2 meV/atom
Density   5.36 g cm⁻³
V   179 Å³/cell
DOS(E_F)   0.000 states/eV/f.u.


A crystal of AlNiAs relaxed with PBEsol. Source: Alexandria via LeMat-Bulk, functional meta-GGA SCAN.

a = 3.373 Å, b = 3.373 Å, c = 7.453 Å
α = 90.00°, β = 90.00°, γ = 90.00°
Space group I4mm (No. 107)
One atom of each set of equivalent atoms:
Al 0.000 0.000 0.000 x2
Ni 0.000 0.000 0.663 x2
As 0.000 0.000 0.334 x2

Computed properties:
Final energy   -14.817 eV/atom
Density   6.29 g cm⁻³
V   85 Å³/cell
Energy relative to the elements   -112 meV per atom
DOS(E_F)   1.321 states/eV/f.u.


A crystal of Bi2PbSe relaxed with PBEsol. Source: Alexandria via LeMat-Bulk, functional meta-GGA SCAN.

a = 7.561 Å, b = 7.561 Å, c = 7.561 Å
α = 90.00°, β = 90.00°, γ = 90.00°
Space group Fm-3m (No. 225)
One atom of each set of equivalent atoms:
Bi 0.250 0.250 0.250 x8
Pb 0.000 0.000 0.000 x4
Se 0.000 0.000 0.500 x4

Computed properties:
Relative energy among the computed polymorphs   19 meV per atom
Final energy   -63.086 eV/atom
ΔE_f (raw)   169.1 meV/atom
Density   10.82 g cm⁻³
V   432 Å³/cell
DOS(E_F)   2.245 states/eV/f.u.


A crystal of Be2AlAg relaxed with PBEsol. Source: Alexandria via LeMat-Bulk, functional meta-GGA SCAN.

a = 2.734 Å, b = 4.146 Å, c = 4.559 Å
α = 90.00°, β = 92.07°, γ = 90.00°
Space group P2/m (No. 10)
One atom of each set of equivalent atoms:
Be 0.193 0.000 0.269 x2
Al 0.500 0.500 0.500 x1
Ag 0.000 0.500 0.000 x1

Computed properties:
Final energy   -11.714 eV/atom
Density   4.91 g cm⁻³
V   52 Å³/cell
Energy relative to the elements   243 meV per atom
DOS(E_F)   0.844 states/eV/f.u.


A crystal of As2Ru relaxed with PBEsol. Source: Alexandria via LeMat-Bulk, functional meta-GGA SCAN.

a = 5.430 Å, b = 6.168 Å, c = 2.966 Å
α = 90.00°, β = 90.00°, γ = 90.00°
Space group Pnnm (No. 58)
One atom of each set of equivalent atoms:
As 0.171 0.135 0.000 x4
Ru 0.000 0.500 0.000 x2

Computed properties:
Final energy   -25.578 eV/atom
Density   8.39 g cm⁻³
V   99 Å³/cell
Energy relative to the elements   -509 meV per atom


A crystal of BaSr2Li2 relaxed with PBEsol. Source: Alexandria via LeMat-Bulk, functional meta-GGA SCAN.

a = 9.476 Å, b = 9.476 Å, c = 4.609 Å
α = 90.00°, β = 90.00°, γ = 90.00°
Space group P4/mbm (No. 127)
One atom of each set of equivalent atoms:
Ba 0.000 0.000 0.000 x2
Sr 0.169 0.331 0.500 x4
Li 0.118 0.618 0.000 x4

Computed properties:
Relative energy among the computed polymorphs   0 meV per atom
Final energy   -17.759 eV/atom
Density   2.62 g cm⁻³
V   414 Å³/cell
Energy relative to the elements   17 meV per atom
DOS(E_F)   3.689 states/eV/f.u.